Entry from Alexandria via LeMat-Bulk: CoPt2Rh at its PBEsol-relaxed geometry (meta-GGA SCAN).

Unit cell a=4.6407 b=4.6407 c=4.6508 alpha=99.98 beta=99.98 gamma=33.72
With the nearest neighbours (Å) after each atom.
Element x y z (fractional)
Co 0.0000 0.0000 0.0000  6 Pt 2.65-2.70, 4 Rh 2.69, 2 Co 2.69
Pt 0.2535 0.2535 0.7538  3 Co 2.65-2.70, 6 Pt 2.67-2.71, 3 Rh 2.67-2.70
Pt 0.7465 0.7465 0.2462  3 Co 2.65-2.70, 6 Pt 2.67-2.71, 3 Rh 2.67-2.70
Rh 0.5000 0.5000 0.5000  6 Pt 2.67-2.70, 4 Co 2.69, 2 Rh 2.69

Summary:
space group = C2/m (12)
E = -47.918 eV per atom
density of states at the Fermi level = 3.74 states/eV/cell
calculated formation energy = -0.052 eV/atom


Entry from Alexandria via LeMat-Bulk: CoPt2Rh at its PBEsol-relaxed geometry (meta-GGA SCAN).

Unit cell a=4.6387 b=4.6387 c=4.6387 alpha=131.83 beta=131.83 gamma=70.49
With the nearest neighbours (Å) after each atom.
Element x y z (fractional)
Co 0.0000 0.0000 0.0000  8 Pt 2.68, 4 Rh 2.68
Pt 0.2500 0.7500 0.5000  4 Rh 2.68, 4 Co 2.68, 4 Pt 2.68
Pt 0.5000 0.5000 0.0000  4 Co 2.68, 4 Rh 2.68, 4 Pt 2.68
Rh 0.7500 0.2500 0.5000  8 Pt 2.68, 4 Co 2.68

Summary:
space group = I-4m2 (119)
E = -47.944 eV per atom
density of states at the Fermi level = 4.80 states/eV/cell
calculated formation energy = -0.079 eV/atom